No. 1
The following is a PBE calculation of crystalline BAu2C at its relaxed geometry, from the Alexandria database.

The structure in POSCAR format:
```
BAu2C
1.0
-0.262 1.239 -2.509
1.224 -4.732 -1.269
-4.697 -0.093 1.816
C B Au
1 1 2
Cartesian
-1.086 -2.639 -2.143
-1.385 -2.933 -0.677
-1.685 0.214 -1.897
-3.580 -2.452 -0.324
```

Computed properties:
ΔE to the lowest computed polymorph in meV/atom: 231
Symmetry: No. 1
Energy relative to the elements in eV/atom: 0.522
Size of the total moment in μB/f.u.: 0.0
Crystal system: triclinic



No. 2
The following is a PBE calculation of crystalline LiAg6Sb at its relaxed geometry, from the Alexandria database.

The structure in POSCAR format:
```
LiAg6Sb
1.0
4.869 0.000 0.000
0.000 5.951 -0.191
0.000 -2.806 5.252
Li Ag Sb
1 6 1
Cartesian
0.000 -2.074 4.797
0.000 -0.714 2.148
0.000 0.904 4.750
0.000 2.343 2.051
2.434 2.223 0.349
2.434 3.817 2.913
2.434 5.239 0.252
2.434 0.840 2.986
```

Computed properties:
Uncorrected formation energy in eV per formula unit: -0.142
ΔE to the lowest computed polymorph in meV/atom: 24
Symmetry: No. 187
Size of the total moment in μB/f.u.: 0.0
Crystal system: hexagonal



No. 3
The following is a PBE calculation of crystalline FeSn3Ru at its relaxed geometry, from the Alexandria database.

The structure in POSCAR format:
```
FeSn3Ru
1.0
-3.574 0.048 3.643
3.105 -2.629 3.081
1.906 4.374 1.812
Ru Sn Fe
1 3 1
Cartesian
0.000 0.000 0.000
1.553 -1.314 1.541
0.953 2.187 0.906
-1.787 0.024 1.821
0.718 0.897 4.268
```

Computed properties:
ΔE to the lowest computed polymorph in meV/atom: 0
Symmetry: No. 221
Energy relative to the elements in eV/atom: 0.669
Size of the total moment in μB/f.u.: 3.1
Crystal system: cubic